No. 1
An optimized crystal structure of LaRu2N2, computed with PBE-GGA.

Symmetry = I4/mmm (139)
Uncorrected formation energy = 0.035 eV per atom
VASP energy = -7.99 eV/atom
E above lowest polymorph = 0.000 eV/atom

Cell lengths 4.0264, 4.0264, 5.0510 Å; angles 66.51, 66.51, 90.00 degrees
Last column: nearest neighbours and their distance in Å.
Element x y z (fractional)
Ru 0.3423 0.3423 0.3154  4 N 2.16
Ru 0.6577 0.6577 0.6846  4 N 2.16
N 0.7500 0.2500 0.5000  4 Ru 2.16
N 0.2500 0.7500 0.5000  4 Ru 2.16
La 0.0000 0.0000 0.0000  10 Ru 2.86-3.14, 8 N 2.90

No. 2
An optimized crystal structure of YVSeBr2, computed with PBE-GGA.

Symmetry = P4/mmm (123)
Uncorrected formation energy = -0.534 eV per atom
VASP energy = -5.02 eV/atom
E above lowest polymorph = 0.000 eV/atom

Cell lengths 4.9899, 4.9899, 5.1691 Å; angles 90.00, 90.00, 90.00 degrees
Last column: nearest neighbours and their distance in Å.
Element x y z (fractional)
Y 0.5000 0.5000 0.5000  4 Se 3.53, 8 Br 3.59
Se 0.0000 0.0000 0.5000  2 V 2.58
Br 0.0000 0.5000 0.0000  2 V 2.49
Br 0.5000 0.0000 0.0000  2 V 2.49
V 0.0000 0.0000 0.0000  4 Br 2.49, 2 Se 2.58

No. 3
An optimized crystal structure of MgIrPb2, computed with PBE-GGA.

Symmetry = R-3m (166)
VASP energy = -4.23 eV/atom
Formation enthalpy at 0 K = 0.96 eV/f.u.

Cell lengths 8.4225, 8.4225, 8.4225 Å; angles 26.03, 26.03, 26.03 degrees
Last column: nearest neighbours and their distance in Å.
Element x y z (fractional)
Ir 0.2500 0.2500 0.2500  6 Pb 2.77
Mg 0.7500 0.7500 0.7500  6 Pb 3.23
Pb 0.9859 0.9859 0.9859  3 Ir 2.77
Pb 0.5141 0.5141 0.5141  3 Ir 2.77

No. 4
An optimized crystal structure of Li3GeF, computed with PBE-GGA.

Symmetry = Pm-3m (221)
Uncorrected formation energy = -0.290 eV per atom
VASP energy = -2.74 eV/atom
E above lowest polymorph = 0.905 eV/atom

Cell lengths 4.9442, 4.9442, 4.9442 Å; angles 90.00, 90.00, 90.00 degrees
Last column: nearest neighbours and their distance in Å.
Element x y z (fractional)
Ge 0.0000 0.0000 0.0000  6 Li 2.47
Li 0.0000 0.5000 0.0000  2 Ge 2.47
Li 0.0000 0.0000 0.5000  2 Ge 2.47
Li 0.5000 0.0000 0.0000  2 Ge 2.47
F 0.5000 0.5000 0.5000  12 Li 3.50

No. 5
An optimized crystal structure of Li3Zr2TcN6, computed with PBE-GGA.

Symmetry = C2/m (12)
Uncorrected formation energy = -0.662 eV per atom
VASP energy = -7.59 eV/atom

Cell lengths 5.4628, 5.4628, 5.3945 Å; angles 99.36, 99.36, 120.13 degrees
Last column: nearest neighbours and their distance in Å.
Element x y z (fractional)
Li 0.1513 0.8487 0.5000  4 N 2.17-2.24
Li 0.8487 0.1513 0.5000  4 N 2.17-2.24
Li 0.5000 0.5000 0.5000  6 N 2.27-2.36
Zr 0.3332 0.6667 0.0000  6 N 2.19-2.20
Zr 0.6667 0.3332 0.0000  6 N 2.19-2.20
Tc 0.0000 0.0000 0.0000  6 N 2.04-2.06
N 0.9270 0.6167 0.7776  1 Tc 2.04, 2 Zr 2.19-2.20, 2 Li 2.24-2.27
N 0.7581 0.7581 0.2247  1 Tc 2.06, 2 Li 2.17, 2 Zr 2.20
N 0.0730 0.3833 0.2224  1 Tc 2.04, 2 Zr 2.19-2.20, 2 Li 2.24-2.27
N 0.6167 0.9270 0.7776  1 Tc 2.04, 2 Zr 2.19-2.20, 2 Li 2.24-2.27
N 0.2419 0.2419 0.7753  1 Tc 2.06, 2 Li 2.17, 2 Zr 2.20
N 0.3833 0.0730 0.2224  1 Tc 2.04, 2 Zr 2.19-2.20, 2 Li 2.24-2.27

No. 6
An optimized crystal structure of LiPmDy2Se5, computed with PBE-GGA.

Symmetry = P2_1 (4)
Uncorrected formation energy = -1.667 eV per atom
VASP energy = -5.37 eV/atom

Cell lengths 4.0873, 8.7919, 12.5010 Å; angles 90.00, 90.00, 103.44 degrees
Last column: nearest neighbours and their distance in Å.
Element x y z (fractional)
Li 0.5114 0.0212 0.9834  4 Se 2.42-2.53
Li 0.4886 0.9788 0.4834  4 Se 2.42-2.53
Pm 0.8059 0.6119 0.4987  6 Se 2.78-2.93
Pm 0.1941 0.3881 0.9987  6 Se 2.78-2.94
Dy 0.8780 0.7558 0.7902  6 Se 2.93-3.22
Dy 0.1096 0.2190 0.6834  8 Se 2.91-3.11
Dy 0.1220 0.2442 0.2902  6 Se 2.93-3.22
Dy 0.8904 0.7810 0.1834  8 Se 2.91-3.11
Se 0.3632 0.7264 0.0042  1 Li 2.53
Se 0.6922 0.3843 0.8328  2 Pm 2.91, 3 Dy 3.11-3.22
Se 0.5009 0.0017 0.7873  1 Li 2.46
Se 0.2889 0.5777 0.6655  2 Pm 2.93, 3 Dy 2.99-3.08
Se 0.9573 0.9159 0.5785  2 Li 2.42-2.43
Se 0.6368 0.2736 0.5042  1 Li 2.53
Se 0.3078 0.6157 0.3328  2 Pm 2.91, 3 Dy 3.11-3.22
Se 0.4991 0.9983 0.2873  1 Li 2.46
Se 0.7111 0.4223 0.1655  2 Pm 2.93-2.94, 3 Dy 2.99-3.08
Se 0.0427 0.0841 0.0785  2 Li 2.42-2.43